Record 1
Below is a relaxed structure of TcBi2Rh2, with properties calculated at the PBE level.

The density is 10.5 Mg/m³. The calculated volume is 22.9 A^3/atom. The calculation puts the formation energy at 835 meV per atom. The value obtained for the calculated total energy is -5.732 eV/atom. The distance to the lowest polymorph of the same formula comes out at 446 meV per atom. Its space-group type is I4/mmm.

Cell and atoms, written as POSCAR:
```
TcBi2Rh2
1.0
4.5456 0.0000 0.0000
0.0000 4.5456 0.0000
2.2728 2.2728 5.5345
Rh Bi Tc
2 2 1
Cartesian
2.2728 2.2728 1.2524 Rh
4.5456 4.5456 4.2821 Rh
4.5456 2.2728 2.7673 Bi
2.2728 4.5456 2.7673 Bi
0.0000 0.0000 0.0000 Tc
```

---

Record 2
Below is a relaxed structure of Tb5PmHoSc2, with properties calculated at the PBE level.

The density is 7.0 Mg/m³. The calculated volume is 31.4 A^3/atom. The calculation puts the formation energy at 167 meV per atom. The value obtained for the calculated total energy is -4.849 eV/atom. Its space-group type is Cmc2_1.

Cell and atoms, written as POSCAR:
```
Tb5PmHoSc2
1.0
5.6085 0.0000 0.0000
-2.8042 10.7582 0.0000
0.0000 0.0000 9.3541
Tb Pm Ho Sc
10 2 2 4
Cartesian
2.8042 4.1593 2.0398 Tb
2.8042 5.0383 7.7862 Tb
0.0000 10.0742 6.9973 Tb
2.8043 10.5442 4.8016 Tb
2.8042 0.6840 2.3203 Tb
2.8042 2.3212 5.1120 Tb
0.0000 5.7199 3.1092 Tb
0.0000 6.5989 6.7168 Tb
0.0000 0.2140 0.1246 Tb
0.0000 8.4370 0.4349 Tb
0.0000 3.9653 0.1757 Pm
2.8042 6.7929 4.8528 Pm
0.0000 8.6637 3.9213 Ho
2.8043 2.0945 8.5984 Ho
2.8042 8.3157 7.7294 Sc
2.8042 7.8358 1.8836 Sc
0.0000 2.4425 3.0523 Sc
0.0000 2.9224 6.5607 Sc
```

---

Record 3
Below is a relaxed structure of Sr2TiNbO6, with properties calculated at the PBE level.

The density is 5.3 Mg/m³. The calculated volume is 13.0 A^3/atom. The value obtained for the calculated total energy is -8.064 eV/atom. Its space-group type is P4/mmm. For the uncorrected formation energy, the calculation gives -2.96 eV per atom.

Cell and atoms, written as POSCAR:
```
Sr2TiNbO6
1.0
-3.2824 -2.2716 0.5234
2.3170 -3.0796 1.1646
-0.5126 2.4971 7.6231
O Sr Nb Ti
6 2 1 1
Cartesian
-0.6093 -2.0590 2.7264 O
-1.6412 -1.1358 0.2617 O
0.9022 -0.2913 4.3938 O
-0.8687 -0.7952 6.5846 O
-1.8975 0.1127 4.0732 O
1.1585 -1.5398 0.5823 O
-0.1197 0.5833 1.7806 Sr
-0.3928 1.9138 5.8424 Sr
-0.7390 -1.4271 4.6555 Nb
-0.4827 -2.6756 0.8440 Ti
```

---

Record 4
Below is a relaxed structure of ReW3, with properties calculated at the PBE level.

The density is 19.3 Mg/m³. The calculated volume is 15.9 A^3/atom. The calculation puts the formation energy at 36 meV per atom. The value obtained for the calculated total energy is -12.791 eV/atom. The distance to the lowest polymorph of the same formula comes out at 17 meV per atom. Its space-group type is Immm.

Cell and atoms, written as POSCAR:
```
ReW3
1.0
-2.3042 -0.7430 -3.7600
0.3347 -3.1232 0.4121
-2.8258 1.8355 4.0284
W Re
3 1
Cartesian
-1.5636 -1.5489 1.7079 W
-2.8474 -0.3579 -0.4002 W
-0.7929 -1.8712 -1.3608 W
-2.1124 -0.6812 -3.4470 Re
```